# 1
Here is an optimized crystal structure of CoSnP2Cl from Alexandria. Energies are from PBE-GGA.

Computed properties:
uncorrected formation energy: 1.2010 eV/atom
space group: P4/mmm

Geometry as POSCAR:
```
CoSnP2Cl
1.0
5.060 0.000 0.000
0.000 5.060 0.000
0.000 0.000 5.058
Co Sn P Cl
1 1 2 1
Cartesian
0.000 0.000 0.000
2.530 2.530 2.529
0.000 2.530 2.529
2.530 0.000 2.529
2.530 2.530 0.000
```

# 2
Here is an optimized crystal structure of CoSnP2Cl from Alexandria. Energies are from PBE-GGA.

Computed properties:
uncorrected formation energy: 0.2152 eV/atom
space group: P4/mmm

Geometry as POSCAR:
```
CoSnP2Cl
1.0
4.303 0.000 0.000
0.000 4.303 0.000
0.000 0.000 5.389
Co Sn P Cl
1 1 2 1
Cartesian
0.000 0.000 0.000
2.151 2.151 2.694
0.000 2.151 0.000
2.151 0.000 0.000
0.000 0.000 2.694
```

# 3
Here is an optimized crystal structure of CoSnPCl2 from Alexandria. Energies are from PBE-GGA.

Computed properties:
uncorrected formation energy: 0.0046 eV/atom
space group: P4/mmm

Geometry as POSCAR:
```
CoSnPCl2
1.0
4.625 0.000 0.000
0.000 4.625 0.000
0.000 0.000 4.648
Co Sn P Cl
1 1 1 2
Cartesian
0.000 0.000 0.000
2.313 2.313 2.324
0.000 0.000 2.324
0.000 2.313 0.000
2.313 0.000 0.000
```

# 4
Here is an optimized crystal structure of SrCoPCl2 from Alexandria. Energies are from PBE-GGA.

Computed properties:
uncorrected formation energy: -0.7759 eV/atom
space group: P4/mmm

Geometry as POSCAR:
```
SrCoPCl2
1.0
4.887 0.000 0.000
0.000 4.887 0.000
0.000 0.000 4.389
Sr Co P Cl
1 1 1 2
Cartesian
0.000 0.000 0.000
2.444 2.444 2.194
2.444 2.444 0.000
0.000 2.444 2.194
2.444 0.000 2.194
```

# 5
Here is an optimized crystal structure of SrCoP2Cl from Alexandria. Energies are from PBE-GGA.

Computed properties:
uncorrected formation energy: 1.1484 eV/atom
space group: P4/mmm

Geometry as POSCAR:
```
SrCoP2Cl
1.0
5.605 0.000 0.000
0.000 5.605 0.000
0.000 0.000 5.345
Sr Co P Cl
1 1 2 1
Cartesian
0.000 0.000 0.000
2.802 2.802 2.673
0.000 2.802 0.000
2.802 0.000 0.000
0.000 0.000 2.673
```

# 6
Here is an optimized crystal structure of SrCoPCl2 from Alexandria. Energies are from PBE-GGA.

Computed properties:
uncorrected formation energy: 0.1804 eV/atom
space group: P4/mmm

Geometry as POSCAR:
```
SrCoPCl2
1.0
5.481 0.000 0.000
0.000 5.481 0.000
0.000 0.000 6.269
Sr Co P Cl
1 1 1 2
Cartesian
0.000 0.000 0.000
2.741 2.741 3.135
0.000 0.000 3.135
0.000 2.741 0.000
2.741 0.000 0.000
```

# 7
Here is an optimized crystal structure of SrCoP2Cl from Alexandria. Energies are from PBE-GGA.

Computed properties:
uncorrected formation energy: -0.5932 eV/atom
space group: P4/mmm

Geometry as POSCAR:
```
SrCoP2Cl
1.0
4.232 0.000 0.000
0.000 4.232 0.000
0.000 0.000 6.281
Sr Co P Cl
1 1 2 1
Cartesian
0.000 0.000 0.000
2.116 2.116 3.141
0.000 2.116 3.141
2.116 0.000 3.141
2.116 2.116 0.000
```

# 8
Here is an optimized crystal structure of TaCoP2Cl from Alexandria. Energies are from PBE-GGA.

Computed properties:
uncorrected formation energy: 1.2053 eV/atom
space group: P4/mmm

Geometry as POSCAR:
```
TaCoP2Cl
1.0
4.536 0.000 0.000
0.000 4.536 0.000
0.000 0.000 3.917
Ta Co P Cl
1 1 2 1
Cartesian
0.000 0.000 0.000
2.268 2.268 0.000
0.000 2.268 1.958
2.268 0.000 1.958
2.268 2.268 1.958
```

# 9
Here is an optimized crystal structure of TaCoP2Cl from Alexandria. Energies are from PBE-GGA.

Computed properties:
uncorrected formation energy: 0.6576 eV/atom
space group: P4/mmm

Geometry as POSCAR:
```
TaCoP2Cl
1.0
4.841 0.000 0.000
0.000 4.841 0.000
0.000 0.000 4.773
Ta Co P Cl
1 1 2 1
Cartesian
0.000 0.000 0.000
2.420 2.420 2.386
0.000 2.420 0.000
2.420 0.000 0.000
0.000 0.000 2.386
```

# 10
Here is an optimized crystal structure of TaCoPCl2 from Alexandria. Energies are from PBE-GGA.

Computed properties:
uncorrected formation energy: 0.6868 eV/atom
space group: P4/mmm

Geometry as POSCAR:
```
TaCoPCl2
1.0
4.295 0.000 0.000
0.000 4.295 0.000
0.000 0.000 4.777
Ta Co P Cl
1 1 1 2
Cartesian
0.000 0.000 0.000
2.148 2.148 2.389
2.148 2.148 0.000
0.000 2.148 2.389
2.148 0.000 2.389
```

# 11
Here is an optimized crystal structure of TaCoPCl2 from Alexandria. Energies are from PBE-GGA.

Computed properties:
uncorrected formation energy: 0.4330 eV/atom
space group: P4/mmm

Geometry as POSCAR:
```
TaCoPCl2
1.0
4.749 0.000 0.000
0.000 4.749 0.000
0.000 0.000 4.995
Ta Co P Cl
1 1 1 2
Cartesian
0.000 0.000 0.000
2.374 2.374 2.497
0.000 0.000 2.497
0.000 2.374 0.000
2.374 0.000 0.000
```

# 12
Here is an optimized crystal structure of TaCoP2Cl from Alexandria. Energies are from PBE-GGA.

Computed properties:
uncorrected formation energy: 0.6994 eV/atom
space group: P4/mmm

Geometry as POSCAR:
```
TaCoP2Cl
1.0
4.354 0.000 0.000
0.000 4.354 0.000
0.000 0.000 4.344
Ta Co P Cl
1 1 2 1
Cartesian
0.000 0.000 0.000
2.177 2.177 2.172
0.000 2.177 2.172
2.177 0.000 2.172
2.177 2.177 0.000
```